Entry 1:
An optimized crystal structure of YBeW2, computed with GGA-PBEsol.

## Properties
Density of states at the Fermi level   0.65 states/eV/atom
E   -9.142 eV per atom
Energy of formation   1.870 eV/f.u.
Density   11.8 g cm⁻³

Unit cell a=2.6584 b=4.6696 c=10.5452 alpha=90.00 beta=90.00 gamma=90.00
Last column: nearest neighbours and their distance in Å.
Space group Immm (No. 71)
Symmetry-distinct sites (fractional):
1 Y 0.0000 0.0000 0.0000 [2 per cell]  2 Y 2.66, 4 Be 2.69
2 Be 0.0000 0.0000 0.5000 [2 per cell]  4 W 2.49, 2 Be 2.66, 4 Y 2.69
3 W 0.0000 0.5000 0.1996 [4 per cell]  2 Be 2.49, 2 W 2.66

***

Entry 2:
An optimized crystal structure of BaTl2Ag, computed with GGA-PBEsol.

## Properties
Density of states at the Fermi level   0.52 states/eV/atom
E   -2.840 eV per atom
Energy of formation   -0.640 eV/f.u.
E above lowest polymorph   0.086 eV/atom
Density   9.9 g cm⁻³

Unit cell a=7.6059 b=7.6059 c=7.6059 alpha=90.00 beta=90.00 gamma=90.00
Last column: nearest neighbours and their distance in Å.
Space group Fm-3m (No. 225)
Symmetry-distinct sites (fractional):
1 Ba 0.0000 0.0000 0.0000 [4 per cell]  8 Tl 3.29
2 Tl 0.2500 0.2500 0.2500 [8 per cell]  4 Ba 3.29, 4 Ag 3.29
3 Ag 0.0000 0.0000 0.5000 [4 per cell]  8 Tl 3.29

***

Entry 3:
An optimized crystal structure of CdNi6W, computed with GGA-PBEsol.

## Properties
Density of states at the Fermi level   0.19 states/eV/atom
E   -6.538 eV per atom
Energy of formation   -0.354 eV/f.u.
Density   11.3 g cm⁻³

Unit cell a=7.2344 b=10.2423 c=10.2756 alpha=90.00 beta=90.00 gamma=90.00
Last column: nearest neighbours and their distance in Å.
Space group Cmmm (No. 65)
Symmetry-distinct sites (fractional):
1 Cd 0.0000 0.0000 0.2499 [4 per cell]  12 Ni 2.57-2.63
2 Cd 0.0000 0.2458 0.0000 [4 per cell]  12 Ni 2.52-2.66
3 Ni 0.0000 0.0000 0.0000 [2 per cell]  4 Cd 2.52-2.57, 8 Ni 2.63
4 Ni 0.0000 0.0000 0.5000 [2 per cell]  2 Cd 2.57, 2 W 2.57, 8 Ni 2.58
5 Ni 0.0000 0.2545 0.2590 [8 per cell]  2 W 2.48-2.52, 8 Ni 2.48-2.66, 2 Cd 2.61-2.66
6 Ni 0.0000 0.5000 0.0000 [2 per cell]  2 W 2.51, 8 Ni 2.53, 2 Cd 2.60
7 Ni 0.0000 0.5000 0.5000 [2 per cell]  8 Ni 2.52, 4 W 2.55-2.63
8 Ni 0.2406 0.3775 0.1306 [16 per cell]  1 W 2.44, 8 Ni 2.51-2.68, 3 Cd 2.57-2.63
9 Ni 0.2441 0.3729 0.3802 [16 per cell]  8 Ni 2.46-2.60, 3 W 2.49-2.60, 1 Cd 2.63
10 W 0.0000 0.2510 0.5000 [4 per cell]  12 Ni 2.48-2.57
11 W 0.0000 0.5000 0.2441 [4 per cell]  12 Ni 2.44-2.63

***

Entry 4:
An optimized crystal structure of CaSc2TiFe, computed with GGA-PBEsol.

## Properties
Density of states at the Fermi level   1.55 states/eV/atom
E   -5.977 eV per atom
Energy of formation   2.744 eV/f.u.
Density   3.3 g cm⁻³

Unit cell a=4.7361 b=4.7361 c=5.1713 alpha=90.00 beta=90.00 gamma=90.00
Last column: nearest neighbours and their distance in Å.
Space group P4/mmm (No. 123)
Symmetry-distinct sites (fractional):
1 Ca 0.0000 0.0000 0.0000 [1 per cell]  2 Fe 2.59
2 Sc 0.0000 0.5000 0.5000 [2 per cell]  2 Fe 2.37
3 Ti 0.5000 0.5000 0.0000 [1 per cell]  4 Ca 3.35, 8 Sc 3.51
4 Fe 0.0000 0.0000 0.5000 [1 per cell]  4 Sc 2.37, 2 Ca 2.59

***

Entry 5:
An optimized crystal structure of TePb3, computed with GGA-PBEsol.

## Properties
Density of states at the Fermi level   0.48 states/eV/atom
E   -3.945 eV per atom
Density   10.5 g cm⁻³
Uncorrected formation energy   -0.06 eV/atom

Unit cell a=7.0192 b=8.5409 c=3.9556 alpha=90.00 beta=90.00 gamma=90.00
Last column: nearest neighbours and their distance in Å.
Space group Cmmm (No. 65)
Symmetry-distinct sites (fractional):
1 Te 0.0000 0.0000 0.0000 [2 per cell]  10 Pb 3.40-3.51
2 Pb 0.0000 0.5000 0.0000 [2 per cell]  8 Pb 3.40, 2 Te 3.51
3 Pb 0.2500 0.2500 0.5000 [4 per cell]  6 Pb 3.40-3.51, 4 Te 3.40

***

Entry 6:
An optimized crystal structure of SrCa2Zn2, computed with GGA-PBEsol.

## Properties
Density of states at the Fermi level   0.93 states/eV/atom
E   -1.934 eV per atom
Energy of formation   -0.401 eV/f.u.
E above lowest polymorph   0.007 eV/atom
Density   3.3 g cm⁻³

Unit cell a=4.9052 b=4.9052 c=12.6250 alpha=90.00 beta=90.00 gamma=90.00
Last column: nearest neighbours and their distance in Å.
Space group I4/mmm (No. 139)
Symmetry-distinct sites (fractional):
1 Sr 0.0000 0.0000 0.0000 [2 per cell]  8 Zn 3.68, 8 Ca 4.00
2 Ca 0.0000 0.5000 0.2500 [4 per cell]  4 Zn 3.12, 4 Ca 3.47
3 Zn 0.0000 0.0000 0.4029 [4 per cell]  1 Zn 2.45

***

Entry 7:
An optimized crystal structure of Cr2HgIr, computed with GGA-PBEsol.

## Properties
Density of states at the Fermi level   0.74 states/eV/atom
E   -7.316 eV per atom
Energy of formation   1.610 eV/f.u.
Density   14.0 g cm⁻³

Unit cell a=8.9308 b=2.8263 c=4.7636 alpha=90.00 beta=100.74 gamma=90.00
Last column: nearest neighbours and their distance in Å.
Space group C2/m (No. 12)
Symmetry-distinct sites (fractional):
1 Cr 0.2425 0.0000 0.1735 [4 per cell]  2 Cr 2.20
2 Hg 0.0000 0.0000 0.5000 [2 per cell]  4 Ir 2.77, 2 Hg 2.83, 6 Cr 2.89
3 Ir 0.0000 0.5000 0.0000 [2 per cell]  6 Cr 2.58-2.59, 4 Hg 2.77, 2 Ir 2.83

***

Entry 8:
An optimized crystal structure of SrYP2, computed with GGA-PBEsol.

## Properties
Density of states at the Fermi level   0.60 states/eV/atom
E   -5.933 eV per atom
Energy of formation   -3.486 eV/f.u.
E above lowest polymorph   0.029 eV/atom
Density   4.4 g cm⁻³

Unit cell a=3.6814 b=4.5839 c=5.3056 alpha=90.00 beta=90.00 gamma=90.00
Last column: nearest neighbours and their distance in Å.
Space group Pmmm (No. 47)
Symmetry-distinct sites (fractional):
1 Sr 0.0000 0.0000 0.0000 [1 per cell]  8 P 2.94-3.23
2 Y 0.0000 0.5000 0.5000 [1 per cell]  8 P 2.94-3.23
3 P 0.5000 0.0000 0.5000 [1 per cell]  4 Y 2.94, 4 Sr 3.23
4 P 0.5000 0.5000 0.0000 [1 per cell]  4 Sr 2.94, 4 Y 3.23

***

Entry 9:
An optimized crystal structure of AsRuO2F, computed with GGA-PBEsol.

## Properties
Density of states at the Fermi level   1.03 states/eV/atom
E   -5.555 eV per atom
Density   6.0 g cm⁻³
Uncorrected formation energy   -0.01 eV/atom

Unit cell a=3.9517 b=3.9517 c=3.9996 alpha=90.00 beta=90.00 gamma=90.00
Last column: nearest neighbours and their distance in Å.
Space group P4/mmm (No. 123)
Symmetry-distinct sites (fractional):
1 As 0.0000 0.0000 0.0000 [1 per cell]  4 O 1.98, 2 F 2.00
2 Ru 0.5000 0.5000 0.5000 [1 per cell]  4 F 2.79, 8 O 2.81
3 O 0.0000 0.5000 0.0000 [2 per cell]  2 As 1.98
4 F 0.0000 0.0000 0.5000 [1 per cell]  2 As 2.00

***

Entry 10:
An optimized crystal structure of K2MgFe, computed with GGA-PBEsol.

## Properties
Density of states at the Fermi level   1.37 states/eV/atom
E   -2.570 eV per atom
Energy of formation   2.669 eV/f.u.
E above lowest polymorph   0.000 eV/atom
Density   1.9 g cm⁻³

Unit cell a=3.5263 b=3.7820 c=10.2928 alpha=90.00 beta=90.52 gamma=90.00
Last column: nearest neighbours and their distance in Å.
Space group Pm (No. 6)
Symmetry-distinct sites (fractional):
1 K 0.0000 0.0000 0.0000 [1 per cell]  1 Mg 3.39, 4 K 3.53-3.78, 4 Fe 3.64
2 K 0.4811 0.5000 0.4032 [1 per cell]  4 K 3.53-3.78, 1 Fe 3.58, 4 Mg 3.77-3.78
3 Mg 0.9898 0.0000 0.6704 [1 per cell]  4 Fe 2.71
4 Fe 0.4921 0.5000 0.7507 [1 per cell]  4 Mg 2.71

***

Entry 11:
An optimized crystal structure of Tc2NiW, computed with GGA-PBEsol.

## Properties
Density of states at the Fermi level   0.74 states/eV/atom
E   -10.649 eV per atom
Energy of formation   -0.098 eV/f.u.
E above lowest polymorph   0.000 eV/atom
Density   13.5 g cm⁻³

Unit cell a=3.7762 b=3.7762 c=3.7719 alpha=90.00 beta=90.00 gamma=90.00
Last column: nearest neighbours and their distance in Å.
Space group P4/mmm (No. 123)
Symmetry-distinct sites (fractional):
1 Tc 0.0000 0.5000 0.0000 [2 per cell]  4 W 2.67, 4 Ni 2.67, 4 Tc 2.67
2 Ni 0.0000 0.0000 0.5000 [1 per cell]  8 Tc 2.67, 4 W 2.67
3 W 0.5000 0.5000 0.5000 [1 per cell]  8 Tc 2.67, 4 Ni 2.67

***

Entry 12:
An optimized crystal structure of CsAl2Pb2, computed with GGA-PBEsol.

## Properties
Density of states at the Fermi level   0.27 states/eV/atom
E   -3.453 eV per atom
Energy of formation   -0.144 eV/f.u.
Density   6.4 g cm⁻³

Unit cell a=4.1910 b=4.1910 c=17.8848 alpha=90.00 beta=90.00 gamma=90.00
Last column: nearest neighbours and their distance in Å.
Space group I4/mmm (No. 139)
Symmetry-distinct sites (fractional):
1 Cs 0.0000 0.0000 0.0000 [2 per cell]  8 Pb 3.88, 4 Cs 4.19
2 Al 0.0000 0.5000 0.2500 [4 per cell]  4 Pb 2.87, 4 Al 2.96
3 Pb 0.0000 0.0000 0.3598 [4 per cell]  4 Al 2.87

***

Entry 13:
An optimized crystal structure of YSeBr, computed with GGA-PBEsol.

## Properties
E   -5.172 eV per atom
Density   5.3 g cm⁻³
Uncorrected formation energy   -0.99 eV/atom

Unit cell a=6.7621 b=6.7621 c=6.7621 alpha=90.00 beta=90.00 gamma=90.00
Last column: nearest neighbours and their distance in Å.
Space group F-43m (No. 216)
Symmetry-distinct sites (fractional):
1 Y 0.0000 0.0000 0.0000 [4 per cell]  4 Br 2.93
2 Se 0.0000 0.0000 0.5000 [4 per cell]  4 Br 2.93
3 Br 0.2500 0.2500 0.2500 [4 per cell]  4 Se 2.93, 4 Y 2.93

***

Entry 14:
An optimized crystal structure of YZn2Cd2, computed with GGA-PBEsol.

## Properties
Density of states at the Fermi level   0.59 states/eV/atom
E   -2.743 eV per atom
Energy of formation   -1.334 eV/f.u.
E above lowest polymorph   0.000 eV/atom
Density   7.4 g cm⁻³

Unit cell a=4.1637 b=4.1637 c=11.5144 alpha=90.00 beta=90.00 gamma=90.00
Last column: nearest neighbours and their distance in Å.
Space group I4/mmm (No. 139)
Symmetry-distinct sites (fractional):
1 Y 0.0000 0.0000 0.0000 [2 per cell]  8 Zn 3.17
2 Zn 0.0000 0.0000 0.3978 [4 per cell]  1 Zn 2.35
3 Cd 0.0000 0.5000 0.2500 [4 per cell]  4 Zn 2.69, 4 Cd 2.94

***

Entry 15:
An optimized crystal structure of LaZnRh, computed with GGA-PBEsol.

## Properties
Density of states at the Fermi level   0.75 states/eV/atom
E   -5.127 eV per atom
Energy of formation   -0.315 eV/f.u.
Density   7.7 g cm⁻³

Unit cell a=6.4136 b=6.4136 c=6.4136 alpha=90.00 beta=90.00 gamma=90.00
Last column: nearest neighbours and their distance in Å.
Space group F-43m (No. 216)
Symmetry-distinct sites (fractional):
1 La 0.0000 0.0000 0.0000 [4 per cell]  4 Zn 2.78
2 Zn 0.2500 0.2500 0.2500 [4 per cell]  4 Rh 2.78, 4 La 2.78
3 Rh 0.0000 0.0000 0.5000 [4 per cell]  4 Zn 2.78

***

Entry 16:
An optimized crystal structure of In2TeBr, computed with GGA-PBEsol.

## Properties
Density of states at the Fermi level   0.55 states/eV/atom
E   -3.163 eV per atom
E above lowest polymorph   0.045 eV/atom
Density   6.6 g cm⁻³
Uncorrected formation energy   -0.32 eV/atom

Unit cell a=7.5900 b=7.5900 c=7.5900 alpha=90.00 beta=90.00 gamma=90.00
Last column: nearest neighbours and their distance in Å.
Space group Fm-3m (No. 225)
Symmetry-distinct sites (fractional):
1 In 0.2500 0.2500 0.2500 [8 per cell]  4 Br 3.29, 4 Te 3.29
2 Te 0.0000 0.0000 0.0000 [4 per cell]  8 In 3.29
3 Br 0.0000 0.0000 0.5000 [4 per cell]  8 In 3.29

***

Entry 17:
An optimized crystal structure of SrCaFe3, computed with GGA-PBEsol.

## Properties
Density of states at the Fermi level   1.77 states/eV/atom
E   -4.575 eV per atom
Energy of formation   7.987 eV/f.u.
Density   4.3 g cm⁻³

Unit cell a=4.8629 b=4.8629 c=4.8629 alpha=90.00 beta=90.00 gamma=90.00
Last column: nearest neighbours and their distance in Å.
Space group Pm-3m (No. 221)
Symmetry-distinct sites (fractional):
1 Sr 0.0000 0.0000 0.0000 [1 per cell]  12 Fe 3.44
2 Ca 0.5000 0.5000 0.5000 [1 per cell]  6 Fe 2.43
3 Fe 0.0000 0.5000 0.5000 [3 per cell]  2 Ca 2.43

***

Entry 18:
An optimized crystal structure of LuNiP, computed with GGA-PBEsol.

## Properties
Density of states at the Fermi level   0.40 states/eV/atom
E   -6.878 eV per atom
Energy of formation   -3.812 eV/f.u.
Density   9.5 g cm⁻³

Unit cell a=3.8102 b=3.8102 c=7.3754 alpha=90.00 beta=90.00 gamma=120.00
Last column: nearest neighbours and their distance in Å.
Space group P6_3/mmc (No. 194)
Symmetry-distinct sites (fractional):
1 Lu 0.0000 0.0000 0.0000 [2 per cell]  6 Ni 2.87, 6 P 2.87
2 Ni 0.3333 0.6667 0.2500 [2 per cell]  3 P 2.20
3 P 0.3333 0.6667 0.7500 [2 per cell]  3 Ni 2.20

***

Entry 19:
An optimized crystal structure of Na2SiNiAu, computed with GGA-PBEsol.

## Properties
Density of states at the Fermi level   0.32 states/eV/atom
E   -3.393 eV per atom
Density   5.1 g cm⁻³
Uncorrected formation energy   0.33 eV/atom

Unit cell a=5.0131 b=5.0131 c=4.2720 alpha=90.00 beta=90.00 gamma=90.00
Last column: nearest neighbours and their distance in Å.
Space group P4/mmm (No. 123)
Symmetry-distinct sites (fractional):
1 Na 0.0000 0.5000 0.0000 [2 per cell]  2 Ni 2.51
2 Si 0.0000 0.0000 0.5000 [1 per cell]  2 Ni 2.14
3 Ni 0.0000 0.0000 0.0000 [1 per cell]  2 Si 2.14
4 Au 0.5000 0.5000 0.5000 [1 per cell]  8 Na 3.29, 4 Si 3.54

***

Entry 20:
An optimized crystal structure of SrAlFe2, computed with GGA-PBEsol.

## Properties
Density of states at the Fermi level   0.83 states/eV/atom
E   -5.643 eV per atom
Energy of formation   1.287 eV/f.u.
Density   5.3 g cm⁻³

Unit cell a=3.2726 b=3.2726 c=6.6188 alpha=90.00 beta=90.00 gamma=90.00
Last column: nearest neighbours and their distance in Å.
Space group P4/mmm (No. 123)
Symmetry-distinct sites (fractional):
1 Sr 0.0000 0.0000 0.0000 [1 per cell]  8 Fe 3.21, 4 Sr 3.27, 2 Al 3.31
2 Al 0.0000 0.0000 0.5000 [1 per cell]  8 Fe 2.56
3 Fe 0.5000 0.5000 0.3362 [2 per cell]  1 Fe 2.17